(1)
First-principles (PBE-GGA) data for crystalline ScMn2Al at its relaxed geometry, as listed in Alexandria via LeMat-Bulk.

Values from the calculation:
Energy relative to the elements (meV/atom): 165.9

a b c (Å): 2.8863 2.8863 26.1319
angles (deg): 90.00 90.00 120.00
Atoms (fractional coordinates):
Sc (0.0000, 0.0000, 0.0000)
Sc (0.3333, 0.6667, 0.6667)
Sc (0.6667, 0.3333, 0.3333)
Mn (0.0000, 0.0000, 0.2466)
Mn (0.0000, 0.0000, 0.7534)
Mn (0.3333, 0.6667, 0.4200)
Mn (0.3333, 0.6667, 0.9133)
Mn (0.6667, 0.3333, 0.0867)
Mn (0.6667, 0.3333, 0.5800)
Al (0.0000, 0.0000, 0.5000)
Al (0.3333, 0.6667, 0.1667)
Al (0.6667, 0.3333, 0.8333)

=====

(2)
First-principles (PBE-GGA) data for crystalline BaSr2Pt2 at its relaxed geometry, as listed in Alexandria via LeMat-Bulk.

Values from the calculation:
Energy relative to the elements (meV/atom): -439.9

a b c (Å): 5.5415 5.5415 11.4363
angles (deg): 90.00 90.00 90.00
Atoms (fractional coordinates):
Ba (0.0000, 0.0000, 0.0000)
Ba (0.5000, 0.5000, 0.5000)
Sr (0.0000, 0.0000, 0.3362)
Sr (0.0000, 0.0000, 0.6638)
Sr (0.5000, 0.5000, 0.1638)
Sr (0.5000, 0.5000, 0.8362)
Pt (0.0000, 0.5000, 0.2500)
Pt (0.0000, 0.5000, 0.7500)
Pt (0.5000, 0.0000, 0.2500)
Pt (0.5000, 0.0000, 0.7500)

=====

(3)
First-principles (PBE-GGA) data for crystalline TbPr2Se2O2 at its relaxed geometry, as listed in Alexandria via LeMat-Bulk.

Values from the calculation:
Final energy (eV per atom): -6.802

a b c (Å): 4.3619 4.3619 15.7233
angles (deg): 90.00 90.00 90.00
Atoms (fractional coordinates):
Tb (0.0000, 0.0000, 0.0000)
Tb (0.5000, 0.5000, 0.5000)
Pr (0.0000, 0.0000, 0.3726)
Pr (0.0000, 0.0000, 0.6274)
Pr (0.5000, 0.5000, 0.1274)
Pr (0.5000, 0.5000, 0.8726)
Se (0.0000, 0.0000, 0.1804)
Se (0.0000, 0.0000, 0.8196)
Se (0.5000, 0.5000, 0.3196)
Se (0.5000, 0.5000, 0.6804)
O (0.0000, 0.5000, 0.0000)
O (0.0000, 0.5000, 0.5000)
O (0.5000, 0.0000, 0.0000)
O (0.5000, 0.0000, 0.5000)

=====

(4)
First-principles (PBE-GGA) data for crystalline Th4NiIrSe2 at its relaxed geometry, as listed in Alexandria via LeMat-Bulk.

Values from the calculation:
Final energy (eV per atom): -7.530

a b c (Å): 7.0193 4.1492 7.6389
angles (deg): 90.00 107.61 90.00
Atoms (fractional coordinates):
Th (0.2414, 0.0000, 0.2193)
Th (0.2549, 0.5000, 0.7796)
Th (0.7451, 0.5000, 0.2204)
Th (0.7586, 0.0000, 0.7807)
Ni (0.0000, 0.5000, 0.0000)
Ir (0.5000, 0.0000, 0.0000)
Se (0.0000, 0.0000, 0.5000)
Se (0.5000, 0.5000, 0.5000)

=====

(5)
First-principles (PBE-GGA) data for crystalline CaYAs2Pd5 at its relaxed geometry, as listed in Alexandria via LeMat-Bulk.

Values from the calculation:
Energy relative to the elements (meV/atom): -736.1

a b c (Å): 4.2847 4.2847 8.9771
angles (deg): 90.00 90.00 90.00
Atoms (fractional coordinates):
Ca (0.0000, 0.0000, 0.0000)
Y (0.0000, 0.0000, 0.5000)
As (0.5000, 0.5000, 0.3626)
As (0.5000, 0.5000, 0.6374)
Pd (0.0000, 0.5000, 0.2285)
Pd (0.0000, 0.5000, 0.7715)
Pd (0.5000, 0.0000, 0.2285)
Pd (0.5000, 0.0000, 0.7715)
Pd (0.5000, 0.5000, 0.0000)

=====

(6)
First-principles (PBE-GGA) data for crystalline K2TaAgBr6 at its relaxed geometry, as listed in Alexandria via LeMat-Bulk.

Values from the calculation:
Final energy (eV per atom): -3.644

a b c (Å): 7.7303 7.7303 7.7303
angles (deg): 60.00 60.00 60.00
Atoms (fractional coordinates):
K (0.2500, 0.2500, 0.2500)
K (0.7500, 0.7500, 0.7500)
Ta (0.0000, 0.0000, 0.0000)
Ag (0.5000, 0.5000, 0.5000)
Br (0.2408, 0.2408, 0.7592)
Br (0.2408, 0.7592, 0.2408)
Br (0.2408, 0.7592, 0.7592)
Br (0.7592, 0.2408, 0.2408)
Br (0.7592, 0.2408, 0.7592)
Br (0.7592, 0.7592, 0.2408)

=====

(7)
First-principles (PBE-GGA) data for crystalline PuNpPaGa at its relaxed geometry, as listed in Alexandria via LeMat-Bulk.

Values from the calculation:
Energy relative to the elements (meV/atom): 123.8

a b c (Å): 7.0604 7.0604 7.0604
angles (deg): 90.00 90.00 90.00
Atoms (fractional coordinates):
Pu (0.0000, 0.0000, 0.0000)
Pu (0.0000, 0.5000, 0.5000)
Pu (0.5000, 0.0000, 0.5000)
Pu (0.5000, 0.5000, 0.0000)
Np (0.2500, 0.2500, 0.7500)
Np (0.2500, 0.7500, 0.2500)
Np (0.7500, 0.2500, 0.2500)
Np (0.7500, 0.7500, 0.7500)
Pa (0.0000, 0.0000, 0.5000)
Pa (0.0000, 0.5000, 0.0000)
Pa (0.5000, 0.0000, 0.0000)
Pa (0.5000, 0.5000, 0.5000)
Ga (0.2500, 0.2500, 0.2500)
Ga (0.2500, 0.7500, 0.7500)
Ga (0.7500, 0.2500, 0.7500)
Ga (0.7500, 0.7500, 0.2500)

=====

(8)
First-principles (PBE-GGA) data for crystalline Be2HgPb at its relaxed geometry, as listed in Alexandria via LeMat-Bulk.

Values from the calculation:
Energy relative to the elements (meV/atom): 521.9

a b c (Å): 3.1097 4.0309 12.0295
angles (deg): 90.00 90.00 90.00
Atoms (fractional coordinates):
Be (0.0000, 0.0000, 0.0000)
Be (0.0000, 0.5000, 0.3577)
Be (0.5000, 0.0000, 0.8577)
Be (0.5000, 0.5000, 0.5000)
Hg (0.0000, 0.0000, 0.4958)
Hg (0.5000, 0.5000, 0.9958)
Pb (0.0000, 0.5000, 0.7301)
Pb (0.5000, 0.0000, 0.2301)